1.
Density functional theory data (PBE-GGA) for an optimized crystal structure of BeCoReSn.

Unit cell a=4.2746 b=4.2746 c=4.2746 alpha=60.00 beta=60.00 gamma=60.00
Positions (direct):
Co1 0.7500 0.7500 0.7500
Sn1 0.0000 0.0000 0.0000
Be1 0.5000 0.5000 0.5000
Re1 0.2500 0.2500 0.2500

Results
Distance to the lowest polymorph of the same formula = 0.000 eV/atom


2.
Density functional theory data (PBE-GGA) for an optimized crystal structure of BeTlCoRe.

Unit cell a=4.3347 b=4.3347 c=4.3347 alpha=60.00 beta=60.00 gamma=60.00
Positions (direct):
Co1 0.7500 0.7500 0.7500
Re1 0.2500 0.2500 0.2500
Tl1 0.0000 0.0000 0.0000
Be1 0.5000 0.5000 0.5000

Results
Distance to the lowest polymorph of the same formula = 0.198 eV/atom


3.
Density functional theory data (PBE-GGA) for an optimized crystal structure of BeTlCoRe.

Unit cell a=4.2937 b=4.2937 c=4.2937 alpha=60.00 beta=60.00 gamma=60.00
Positions (direct):
Be1 0.2500 0.2500 0.2500
Re1 0.5000 0.5000 0.5000
Tl1 0.0000 0.0000 0.0000
Co1 0.7500 0.7500 0.7500

Results
Distance to the lowest polymorph of the same formula = 0.000 eV/atom


4.
Density functional theory data (PBE-GGA) for an optimized crystal structure of BeZnCoRe.

Unit cell a=4.0602 b=4.0602 c=4.0602 alpha=60.00 beta=60.00 gamma=60.00
Positions (direct):
Co1 0.7500 0.7500 0.7500
Re1 0.5000 0.5000 0.5000
Zn1 0.0000 0.0000 0.0000
Be1 0.2500 0.2500 0.2500

Results
Distance to the lowest polymorph of the same formula = 0.000 eV/atom


5.
Density functional theory data (PBE-GGA) for an optimized crystal structure of BeZnCoRe.

Unit cell a=4.0702 b=4.0702 c=4.0702 alpha=60.00 beta=60.00 gamma=60.00
Positions (direct):
Zn1 0.0000 0.0000 0.0000
Be1 0.5000 0.5000 0.5000
Co1 0.7500 0.7500 0.7500
Re1 0.2500 0.2500 0.2500

Results
Distance to the lowest polymorph of the same formula = 0.160 eV/atom


6.
Density functional theory data (PBE-GGA) for an optimized crystal structure of BeCoSb.

Unit cell a=3.9959 b=3.9959 c=3.9959 alpha=60.00 beta=60.00 gamma=60.00
Positions (direct):
Sb1 0.7500 0.7500 0.7500
Co1 0.0000 0.0000 0.0000
Be1 0.2500 0.2500 0.2500

Results
Distance to the lowest polymorph of the same formula = 0.000 eV/atom


7.
Density functional theory data (PBE-GGA) for an optimized crystal structure of Be2CoSb.

Unit cell a=4.1123 b=4.1123 c=4.1123 alpha=60.00 beta=60.00 gamma=60.00
Positions (direct):
Co1 0.2500 0.2500 0.2500
Be1 0.7500 0.7500 0.7500
Sb1 0.0000 0.0000 0.0000
Be2 0.5000 0.5000 0.5000


8.
Density functional theory data (PBE-GGA) for an optimized crystal structure of BeCoSb2.

Unit cell a=4.7072 b=4.7072 c=4.7072 alpha=60.00 beta=60.00 gamma=60.00
Positions (direct):
Sb1 0.0000 0.0000 0.0000
Co1 0.2500 0.2500 0.2500
Sb2 0.7500 0.7500 0.7500
Be1 0.5000 0.5000 0.5000


9.
Density functional theory data (PBE-GGA) for an optimized crystal structure of ScBeCoSb.

Unit cell a=4.4557 b=4.4557 c=4.4557 alpha=60.00 beta=60.00 gamma=60.00
Positions (direct):
Sb1 0.0000 0.0000 0.0000
Co1 0.5000 0.5000 0.5000
Be1 0.7500 0.7500 0.7500
Sc1 0.2500 0.2500 0.2500

Results
Distance to the lowest polymorph of the same formula = 0.214 eV/atom


10.
Density functional theory data (PBE-GGA) for an optimized crystal structure of ScBeCoSb.

Unit cell a=4.3805 b=4.3805 c=4.3805 alpha=60.00 beta=60.00 gamma=60.00
Positions (direct):
Sc1 0.7500 0.7500 0.7500
Sb1 0.2500 0.2500 0.2500
Be1 0.0000 0.0000 0.0000
Co1 0.5000 0.5000 0.5000

Results
Distance to the lowest polymorph of the same formula = 0.000 eV/atom


11.
Density functional theory data (PBE-GGA) for an optimized crystal structure of ScBeCoSb.

Unit cell a=4.4447 b=4.4447 c=4.4447 alpha=60.00 beta=60.00 gamma=60.00
Positions (direct):
Be1 0.7500 0.7500 0.7500
Sc1 0.0000 0.0000 0.0000
Sb1 0.2500 0.2500 0.2500
Co1 0.5000 0.5000 0.5000

Results
Distance to the lowest polymorph of the same formula = 0.120 eV/atom


12.
Density functional theory data (PBE-GGA) for an optimized crystal structure of TaBeCoSb.

Unit cell a=4.3592 b=4.3592 c=4.3592 alpha=60.00 beta=60.00 gamma=60.00
Positions (direct):
Be1 0.2500 0.2500 0.2500
Ta1 0.5000 0.5000 0.5000
Sb1 0.0000 0.0000 0.0000
Co1 0.7500 0.7500 0.7500

Results
Distance to the lowest polymorph of the same formula = 0.000 eV/atom


13.
Density functional theory data (PBE-GGA) for an optimized crystal structure of TaBeCoSb.

Unit cell a=4.4039 b=4.4039 c=4.4039 alpha=60.00 beta=60.00 gamma=60.00
Positions (direct):
Ta1 0.2500 0.2500 0.2500
Be1 0.5000 0.5000 0.5000
Co1 0.7500 0.7500 0.7500
Sb1 0.0000 0.0000 0.0000

Results
Distance to the lowest polymorph of the same formula = 0.080 eV/atom


14.
Density functional theory data (PBE-GGA) for an optimized crystal structure of BeCoTcSb.

Unit cell a=4.2314 b=4.2314 c=4.2314 alpha=60.00 beta=60.00 gamma=60.00
Positions (direct):
Sb1 0.0000 0.0000 0.0000
Be1 0.5000 0.5000 0.5000
Tc1 0.2500 0.2500 0.2500
Co1 0.7500 0.7500 0.7500

Results
Distance to the lowest polymorph of the same formula = 0.000 eV/atom


15.
Density functional theory data (PBE-GGA) for an optimized crystal structure of BeCoSbW.

Unit cell a=4.2976 b=4.2976 c=4.2976 alpha=60.00 beta=60.00 gamma=60.00
Positions (direct):
W1 0.5000 0.5000 0.5000
Be1 0.2500 0.2500 0.2500
Co1 0.7500 0.7500 0.7500
Sb1 0.0000 0.0000 0.0000

Results
Distance to the lowest polymorph of the same formula = 0.094 eV/atom


16.
Density functional theory data (PBE-GGA) for an optimized crystal structure of BeCoSbW.

Unit cell a=4.3164 b=4.3164 c=4.3164 alpha=60.00 beta=60.00 gamma=60.00
Positions (direct):
W1 0.2500 0.2500 0.2500
Sb1 0.0000 0.0000 0.0000
Co1 0.7500 0.7500 0.7500
Be1 0.5000 0.5000 0.5000

Results
Distance to the lowest polymorph of the same formula = 0.000 eV/atom


17.
Density functional theory data (PBE-GGA) for an optimized crystal structure of YBeCoSb.

Unit cell a=4.5581 b=4.5581 c=4.5581 alpha=60.00 beta=60.00 gamma=60.00
Positions (direct):
Sb1 0.0000 0.0000 0.0000
Be1 0.2500 0.2500 0.2500
Y1 0.5000 0.5000 0.5000
Co1 0.7500 0.7500 0.7500

Results
Distance to the lowest polymorph of the same formula = 0.000 eV/atom


18.
Density functional theory data (PBE-GGA) for an optimized crystal structure of BeZnCoSb.

Unit cell a=4.3670 b=4.3670 c=4.3670 alpha=60.00 beta=60.00 gamma=60.00
Positions (direct):
Co1 0.0000 0.0000 0.0000
Be1 0.7500 0.7500 0.7500
Sb1 0.5000 0.5000 0.5000
Zn1 0.2500 0.2500 0.2500

Results
Distance to the lowest polymorph of the same formula = 0.170 eV/atom


19.
Density functional theory data (PBE-GGA) for an optimized crystal structure of BeZnCoSb.

Unit cell a=4.2998 b=4.2998 c=4.2998 alpha=60.00 beta=60.00 gamma=60.00
Positions (direct):
Sb1 0.0000 0.0000 0.0000
Be1 0.7500 0.7500 0.7500
Co1 0.2500 0.2500 0.2500
Zn1 0.5000 0.5000 0.5000

Results
Distance to the lowest polymorph of the same formula = 0.000 eV/atom


20.
Density functional theory data (PBE-GGA) for an optimized crystal structure of ZrBeCoSb.

Unit cell a=4.4434 b=4.4434 c=4.4434 alpha=60.00 beta=60.00 gamma=60.00
Positions (direct):
Be1 0.2500 0.2500 0.2500
Sb1 0.0000 0.0000 0.0000
Co1 0.7500 0.7500 0.7500
Zr1 0.5000 0.5000 0.5000

Results
Distance to the lowest polymorph of the same formula = 0.000 eV/atom


21.
Density functional theory data (PBE-GGA) for an optimized crystal structure of ZrBeCoSb.

Unit cell a=4.5029 b=4.5029 c=4.5029 alpha=60.00 beta=60.00 gamma=60.00
Positions (direct):
Be1 0.5000 0.5000 0.5000
Zr1 0.2500 0.2500 0.2500
Sb1 0.0000 0.0000 0.0000
Co1 0.7500 0.7500 0.7500

Results
Distance to the lowest polymorph of the same formula = 0.199 eV/atom


22.
Density functional theory data (PBE-GGA) for an optimized crystal structure of Sc2BeCo.

Unit cell a=4.3362 b=4.3362 c=4.3362 alpha=60.00 beta=60.00 gamma=60.00
Positions (direct):
Co1 0.2500 0.2500 0.2500
Be1 0.5000 0.5000 0.5000
Sc1 0.7500 0.7500 0.7500
Sc2 0.0000 0.0000 0.0000


23.
Density functional theory data (PBE-GGA) for an optimized crystal structure of ScBeCo.

Unit cell a=4.0086 b=4.0086 c=4.0086 alpha=60.00 beta=60.00 gamma=60.00
Positions (direct):
Co1 0.0000 0.0000 0.0000
Be1 0.2500 0.2500 0.2500
Sc1 0.7500 0.7500 0.7500

Results
Distance to the lowest polymorph of the same formula = 0.000 eV/atom


24.
Density functional theory data (PBE-GGA) for an optimized crystal structure of ScBeCo.

Unit cell a=4.1014 b=4.1014 c=4.1014 alpha=60.00 beta=60.00 gamma=60.00
Positions (direct):
Be1 0.2500 0.2500 0.2500
Co1 0.7500 0.7500 0.7500
Sc1 0.0000 0.0000 0.0000

Results
Distance to the lowest polymorph of the same formula = 0.618 eV/atom


25.
Density functional theory data (PBE-GGA) for an optimized crystal structure of ScBeCoSi.

Unit cell a=4.0975 b=4.0975 c=4.0975 alpha=60.00 beta=60.00 gamma=60.00
Positions (direct):
Sc1 0.0000 0.0000 0.0000
Co1 0.2500 0.2500 0.2500
Si1 0.5000 0.5000 0.5000
Be1 0.7500 0.7500 0.7500

Results
Distance to the lowest polymorph of the same formula = 0.000 eV/atom


26.
Density functional theory data (PBE-GGA) for an optimized crystal structure of ScBeCoSi.

Unit cell a=4.1750 b=4.1750 c=4.1750 alpha=60.00 beta=60.00 gamma=60.00
Positions (direct):
Be1 0.7500 0.7500 0.7500
Sc1 0.2500 0.2500 0.2500
Si1 0.0000 0.0000 0.0000
Co1 0.5000 0.5000 0.5000

Results
Distance to the lowest polymorph of the same formula = 0.245 eV/atom


27.
Density functional theory data (PBE-GGA) for an optimized crystal structure of ScBeCoSi.

Unit cell a=4.1438 b=4.1438 c=4.1438 alpha=60.00 beta=60.00 gamma=60.00
Positions (direct):
Be1 0.7500 0.7500 0.7500
Co1 0.5000 0.5000 0.5000
Si1 0.2500 0.2500 0.2500
Sc1 0.0000 0.0000 0.0000

Results
Distance to the lowest polymorph of the same formula = 0.079 eV/atom


28.
Density functional theory data (PBE-GGA) for an optimized crystal structure of ScBeTlCo.

Unit cell a=4.4300 b=4.4300 c=4.4300 alpha=60.00 beta=60.00 gamma=60.00
Positions (direct):
Be1 0.2500 0.2500 0.2500
Tl1 0.0000 0.0000 0.0000
Sc1 0.5000 0.5000 0.5000
Co1 0.7500 0.7500 0.7500

Results
Distance to the lowest polymorph of the same formula = 0.000 eV/atom


29.
Density functional theory data (PBE-GGA) for an optimized crystal structure of ScBeTlCo.

Unit cell a=4.4631 b=4.4631 c=4.4631 alpha=60.00 beta=60.00 gamma=60.00
Positions (direct):
Co1 0.7500 0.7500 0.7500
Sc1 0.2500 0.2500 0.2500
Be1 0.5000 0.5000 0.5000
Tl1 0.0000 0.0000 0.0000

Results
Distance to the lowest polymorph of the same formula = 0.055 eV/atom


30.
Density functional theory data (PBE-GGA) for an optimized crystal structure of ScBeZnCo.

Unit cell a=4.2351 b=4.2351 c=4.2351 alpha=60.00 beta=60.00 gamma=60.00
Positions (direct):
Sc1 0.7500 0.7500 0.7500
Co1 0.5000 0.5000 0.5000
Zn1 0.0000 0.0000 0.0000
Be1 0.2500 0.2500 0.2500

Results
Distance to the lowest polymorph of the same formula = 0.018 eV/atom


31.
Density functional theory data (PBE-GGA) for an optimized crystal structure of ScBeZnCo.

Unit cell a=4.2099 b=4.2099 c=4.2099 alpha=60.00 beta=60.00 gamma=60.00
Positions (direct):
Co1 0.2500 0.2500 0.2500
Sc1 0.7500 0.7500 0.7500
Zn1 0.0000 0.0000 0.0000
Be1 0.5000 0.5000 0.5000

Results
Distance to the lowest polymorph of the same formula = 0.000 eV/atom


Q: Which total energy values were calculated for the entries above? A: -6.40; -5.51; -5.70; -5.97; -5.81; -4.97; -4.28; -3.94; -5.21; -5.43; -5.31; -6.33; -6.25; -6.25; -6.35; -6.44; -5.39; -3.53; -3.70; -5.88; -5.68; -5.86; -5.59; -4.97; -6.04; -5.80; -5.96; -4.76; -4.70; -4.67; -4.69, in eV/atom.